This record from Alexandria via LeMat-Bulk describes Zr2Sc after structural relaxation. The functional is PBE.

a = 7.908 Å, b = 7.908 Å, c = 5.659 Å
α = 96.39°, β = 96.39°, γ = 23.62°
Fractional positions:
Zr: 0.084 0.084 0.361
Zr: 0.252 0.252 0.749
Zr: 0.748 0.748 0.251
Zr: 0.916 0.916 0.639
Sc: 0.416 0.416 0.136
Sc: 0.584 0.584 0.864

Summary:
- DOS(E_F): 1.392 states/eV per atom
- Formation energy from the elements: 1 meV per atom
- Magnetization: 0.000 μB per cell

This record from Alexandria via LeMat-Bulk describes Zr2ReRh2 after structural relaxation. The functional is PBE.

a = 5.202 Å, b = 5.202 Å, c = 5.202 Å
α = 120.44°, β = 120.44°, γ = 89.24°
Fractional positions:
Zr: 0.250 0.750 0.500
Zr: 0.750 0.250 0.500
Re: 0.000 0.000 0.000
Rh: 0.336 0.336 0.000
Rh: 0.664 0.664 0.000

Summary:
- DOS(E_F): 0.708 states/eV per atom
- Formation energy from the elements: 140 meV per atom
- Magnetization: 0.000 μB per cell
- Excess energy over the best structure of this formula in the dataset: 2.20 eV/f.u.

Please write out number 2 again, unchanged.
This record from Alexandria via LeMat-Bulk describes Zr2ReRh2 after structural relaxation. The functional is PBE.

a = 5.202 Å, b = 5.202 Å, c = 5.202 Å
α = 120.44°, β = 120.44°, γ = 89.24°
Fractional positions:
Zr: 0.250 0.750 0.500
Zr: 0.750 0.250 0.500
Re: 0.000 0.000 0.000
Rh: 0.336 0.336 0.000
Rh: 0.664 0.664 0.000

Summary:
- DOS(E_F): 0.708 states/eV per atom
- Formation energy from the elements: 140 meV per atom
- Magnetization: 0.000 μB per cell
- Excess energy over the best structure of this formula in the dataset: 2.20 eV/f.u.